1.
First-principles (PBE-GGA) data for a geometry-optimized TbY12Ho7 structure, as listed in the Alexandria database.

Properties
Energy relative to the lowest polymorph listed for this composition = 0.000 eV per atom

a = 12.8287 Å, b = 12.8287 Å, c = 13.6284 Å
α = 90.00°, β = 90.00°, γ = 120.00°
Space group R-3 (No. 148, hexagonal axes)
One atom of each set of equivalent atoms:
Tb: 0.0000 0.0000 0.0000 x3
Y: 0.0019 0.5647 0.7487 x18
Y: 0.0683 0.2000 0.3490 x18
Ho: 0.0000 0.0000 0.5000 x3
Ho: 0.0688 0.8692 0.8464 x18

=====

2.
First-principles (PBE-GGA) data for a geometry-optimized TbY7Ho4 structure, as listed in the Alexandria database.

Properties
Energy relative to the lowest polymorph listed for this composition = 0.209 eV per atom

a = 12.0501 Å, b = 5.8567 Å, c = 12.7053 Å
α = 90.00°, β = 117.82°, γ = 90.00°
Space group C2/m (No. 12)
One atom of each set of equivalent atoms:
Tb: 0.0000 0.0000 0.0000 x2
Y: 0.0000 0.5000 0.0000 x2
Y: 0.0614 0.0000 0.3205 x4
Y: 0.1342 0.5000 0.5007 x4
Y: 0.2113 0.0000 0.9234 x4
Ho: 0.1387 0.5000 0.7749 x4
Ho: 0.2432 0.0000 0.6807 x4

=====

3.
First-principles (PBE-GGA) data for a geometry-optimized Tb3Y2Ho structure, as listed in the Alexandria database.

Properties
Electronic total energy = -62.79 eV for the cell shown

a = 7.1780 Å, b = 7.1801 Å, c = 8.8296 Å
α = 90.06°, β = 101.70°, γ = 119.96°
Space group P-1 (No. 2)
One atom of each set of equivalent atoms:
Tb: 0.9997 0.2492 0.0009 x2
Tb: 0.2227 0.8620 0.6671 x2
Tb: 0.2776 0.1382 0.3333 x2
Y: 0.2220 0.3609 0.6668 x2
Y: 0.2781 0.6391 0.3338 x2
Ho: 0.4999 0.2494 0.0007 x2